No. 1
A relaxed Be2CdCl crystal, computed with PBE-GGA.

energy above the most stable polymorph in this dataset: 0.219 eV per atom
Fermi-level density of states: 0.199 states/eV/atom
SG: P4mm (99)
calculated total energy: -2.28 eV/atom
total magnetic moment: 0.00 μB per cell

a b c (Å): 2.9694 2.9694 7.8339
angles (deg): 90.00 90.00 90.00
Closest atoms and distances in Å follow each position.
Sites, in units of the cell vectors:
1 Be 0.0000 0.0000 0.0000  4 Be 2.29, 4 Cl 2.55
2 Be 0.5000 0.5000 0.1178  4 Be 2.29, 1 Cl 2.36
3 Cd 0.0000 0.0000 0.3684  5 Be 2.87-2.89, 4 Cd 2.97
4 Cl 0.5000 0.5000 0.8160  5 Be 2.36-2.55

No. 2
A relaxed Be2CdCl crystal, computed with PBE-GGA.

energy above the most stable polymorph in this dataset: 0.247 eV per atom
Fermi-level density of states: 0.332 states/eV/atom
SG: Imm2 (44)
calculated total energy: -2.25 eV/atom
total magnetic moment: 0.00 μB per cell

a b c (Å): 5.6039 5.6039 5.6039
angles (deg): 150.98 114.44 73.25
Closest atoms and distances in Å follow each position.
Sites, in units of the cell vectors:
1 Be 0.0000 0.0000 0.0000  2 Be 2.28
2 Be 0.8001 0.3001 0.5000  2 Cl 2.02
3 Cd 0.2538 0.7538 0.5000  2 Be 2.68, 2 Cd 2.81
4 Cl 0.6380 0.6380 0.0000  2 Be 2.02

No. 3
A relaxed Be2CdCl crystal, computed with PBE-GGA.

energy above the most stable polymorph in this dataset: 0.442 eV per atom
Fermi-level density of states: 0.306 states/eV/atom
SG: Immm (71)
calculated total energy: -2.06 eV/atom
total magnetic moment: 0.00 μB per cell

a b c (Å): 5.1077 5.1077 5.1077
angles (deg): 146.67 109.98 79.79
Closest atoms and distances in Å follow each position.
Sites, in units of the cell vectors:
1 Be 0.2303 0.2303 0.0000  2 Cl 2.32, 2 Cd 2.57
2 Be 0.7697 0.7697 0.0000  2 Cl 2.32, 2 Cd 2.57
3 Cd 0.5000 0.0000 0.5000  4 Be 2.57
4 Cl 0.0000 0.5000 0.5000  4 Be 2.32

No. 4
A relaxed Be2CdCl crystal, computed with PBE-GGA.

energy above the most stable polymorph in this dataset: 0.950 eV per atom
Fermi-level density of states: 1.185 states/eV/atom
SG: F-43m (216)
calculated total energy: -1.55 eV/atom
total magnetic moment: 0.00 μB per cell

a b c (Å): 4.7414 4.7414 4.7414
angles (deg): 60.00 60.00 60.00
Closest atoms and distances in Å follow each position.
Sites, in units of the cell vectors:
1 Be 0.0000 0.0000 0.0000  4 Cl 2.90, 4 Be 2.90
2 Be 0.2500 0.2500 0.2500  4 Cd 2.90, 4 Be 2.90
3 Cd 0.5000 0.5000 0.5000  4 Cl 2.90, 4 Be 2.90
4 Cl 0.7500 0.7500 0.7500  4 Cd 2.90, 4 Be 2.90

No. 5
A relaxed Be2CdCl crystal, computed with PBE-GGA.

energy above the most stable polymorph in this dataset: 0.000 eV per atom
Fermi-level density of states: 0.195 states/eV/atom
SG: Cm (8)
calculated total energy: -2.50 eV/atom
total magnetic moment: 0.00 μB per cell

a b c (Å): 7.5843 7.5843 4.2047
angles (deg): 91.56 91.56 21.67
Closest atoms and distances in Å follow each position.
Sites, in units of the cell vectors:
1 Be 0.0000 0.0000 0.0000  2 Cl 1.98
2 Be 0.6244 0.6244 0.0136  2 Be 2.34, 4 Cd 2.55
3 Cd 0.1369 0.1369 0.5147  4 Be 2.55, 2 Cd 2.85
4 Cl 0.4074 0.4074 0.9928  2 Be 1.98

No. 6
A relaxed BeCdCl crystal, computed with PBE-GGA.

energy above the most stable polymorph in this dataset: 0.789 eV per atom
Fermi-level density of states: 0.772 states/eV/atom
SG: F-43m (216)
calculated total energy: -1.54 eV/atom
total magnetic moment: 0.00 μB per cell

a b c (Å): 4.7294 4.7294 4.7294
angles (deg): 60.00 60.00 60.00
Closest atoms and distances in Å follow each position.
Sites, in units of the cell vectors:
1 Be 0.0000 0.0000 0.0000  4 Cd 2.90
2 Cd 0.7500 0.7500 0.7500  4 Be 2.90, 4 Cl 2.90
3 Cl 0.5000 0.5000 0.5000  4 Cd 2.90

No. 7
A relaxed Be2CdCl crystal, computed with PBE-GGA.

energy above the most stable polymorph in this dataset: 0.596 eV per atom
Fermi-level density of states: 0.304 states/eV/atom
SG: Cmmm (65)
calculated total energy: -1.90 eV/atom
total magnetic moment: 0.00 μB per cell

a b c (Å): 4.8134 4.8134 2.8078
angles (deg): 90.00 90.00 98.71
Closest atoms and distances in Å follow each position.
Sites, in units of the cell vectors:
1 Be 0.0000 0.5000 0.0000  4 Cd 2.79, 4 Cl 2.79, 2 Be 2.81
2 Be 0.5000 0.0000 0.0000  4 Cd 2.79, 4 Cl 2.79, 2 Be 2.81
3 Cd 0.0000 0.0000 0.5000  8 Be 2.79, 2 Cd 2.81
4 Cl 0.5000 0.5000 0.5000  8 Be 2.79, 2 Cl 2.81

No. 8
A relaxed Be2CdCl crystal, computed with PBE-GGA.

energy above the most stable polymorph in this dataset: 0.321 eV per atom
Fermi-level density of states: 0.546 states/eV/atom
SG: Pm (6)
calculated total energy: -2.18 eV/atom
total magnetic moment: 0.00 μB per cell

a b c (Å): 2.9254 5.0720 4.5618
angles (deg): 90.00 90.18 90.00
Closest atoms and distances in Å follow each position.
Sites, in units of the cell vectors:
1 Be 0.0000 0.0000 0.0000  2 Cl 2.55, 4 Cd 2.69-2.72
2 Be 0.4981 0.5000 0.2447  2 Cl 2.02
3 Cd 0.4971 0.0000 0.4967  6 Be 2.69-2.78, 2 Cd 2.93
4 Cl 0.9959 0.5000 0.9401  2 Be 2.02

No. 9
A relaxed Be2CdCl crystal, computed with PBE-GGA.

energy above the most stable polymorph in this dataset: 0.528 eV per atom
Fermi-level density of states: 0.208 states/eV/atom
SG: C2/m (12)
calculated total energy: -1.97 eV/atom
total magnetic moment: 0.00 μB per cell

a b c (Å): 5.1024 5.1024 3.3235
angles (deg): 108.77 108.77 110.48
Closest atoms and distances in Å follow each position.
Sites, in units of the cell vectors:
1 Be 0.0000 0.5000 0.0000  2 Cd 2.56, 2 Cl 2.56
2 Be 0.5000 0.0000 0.0000  2 Cd 2.56, 2 Cl 2.56
3 Cd 0.0000 0.0000 0.5000  4 Be 2.56
4 Cl 0.5000 0.5000 0.5000  4 Be 2.56

No. 10
A relaxed Be2CdCl crystal, computed with PBE-GGA.

energy above the most stable polymorph in this dataset: 0.440 eV per atom
Fermi-level density of states: 0.706 states/eV/atom
SG: I-42d (122)
calculated total energy: -2.06 eV/atom
total magnetic moment: 0.00 μB per cell

a b c (Å): 6.0749 6.0749 6.0749
angles (deg): 123.70 123.70 83.70
Closest atoms and distances in Å follow each position.
Sites, in units of the cell vectors:
1 Be 0.0958 0.6250 0.9708  2 Cl 2.22, 2 Cd 2.43
2 Be 0.3750 0.3458 0.4708  2 Cl 2.22, 2 Cd 2.43
3 Be 0.6542 0.1250 0.0292  2 Cl 2.22, 2 Cd 2.43
4 Be 0.8750 0.9042 0.5292  2 Cl 2.22, 2 Cd 2.43
5 Cd 0.2500 0.7500 0.5000  4 Be 2.43
6 Cd 0.5000 0.5000 0.0000  4 Be 2.43
7 Cl 0.0000 0.0000 0.0000  4 Be 2.22
8 Cl 0.7500 0.2500 0.5000  4 Be 2.22

No. 11
A relaxed Be2CdCl crystal, computed with PBE-GGA.

energy above the most stable polymorph in this dataset: 0.736 eV per atom
Fermi-level density of states: 0.484 states/eV/atom
SG: I4/mmm (139)
calculated total energy: -1.76 eV/atom
total magnetic moment: 0.00 μB per cell

a b c (Å): 5.5276 5.5276 5.5276
angles (deg): 139.32 139.32 58.89
Closest atoms and distances in Å follow each position.
Sites, in units of the cell vectors:
1 Be 0.2500 0.7500 0.5000  4 Be 2.72
2 Be 0.7500 0.2500 0.5000  4 Be 2.72
3 Cd 0.0000 0.0000 0.0000  4 Cl 2.72
4 Cl 0.5000 0.5000 0.0000  4 Cd 2.72

No. 12
A relaxed Be2CdCl crystal, computed with PBE-GGA.

energy above the most stable polymorph in this dataset: 0.275 eV per atom
Fermi-level density of states: 0.161 states/eV/atom
SG: R-3m (166)
calculated total energy: -2.23 eV/atom
total magnetic moment: 0.00 μB per cell

a b c (Å): 7.2909 7.2909 7.2909
angles (deg): 24.89 24.89 24.89
Closest atoms and distances in Å follow each position.
Sites, in units of the cell vectors:
1 Be 0.2473 0.2473 0.2473  3 Cl 2.49, 3 Cd 2.57
2 Be 0.7527 0.7527 0.7527  3 Cl 2.49, 3 Cd 2.57
3 Cd 0.0000 0.0000 0.0000  6 Be 2.57
4 Cl 0.5000 0.5000 0.5000  6 Be 2.49

We obtain uncorrected formation energy values of 105 116 191 387 20 181 250 144 224 190 305 127 kJ/mol of formula units for the records listed above, in that order.